Entry 1:
Compound: V2CoS4
Source: Alexandria
Functional: PBE-GGA
Structure: relaxed

DFT total energy ... -6.781 eV/atom
Energy relative to the elements, uncorrected ... -802 meV per atom
Crystal system ... monoclinic

Lattice parameters (Å, degrees): 11.9557 3.2307 5.7932 90.00 115.90 90.00
Closest atoms and distances in Å follow each position.
Space group C2/m (No. 12)
Symmetry-distinct sites (fractional):
V 0.2399 0.0000 0.1889 (multiplicity 4)  6 S 2.29-2.49
Co 0.0000 0.5000 0.5000 (multiplicity 2)  6 S 2.29-2.33
S 0.1039 0.5000 0.9395 (multiplicity 4)  3 V 2.29-2.30, 1 Co 2.29
S 0.1350 0.0000 0.4775 (multiplicity 4)  2 Co 2.33, 3 V 2.46-2.49

=====

Entry 2:
Compound: MgC3
Source: Alexandria
Functional: PBE-GGA
Structure: relaxed

DFT total energy ... -6.234 eV/atom
Formation enthalpy at 0 K ... 4.33 eV per formula unit
Energy above the lowest structure with this stoichiometry ... 418 meV per atom
Crystal system ... orthorhombic

Lattice parameters (Å, degrees): 3.7512 6.5341 4.3331 90.00 90.00 90.00
Closest atoms and distances in Å follow each position.
Space group Imm2 (No. 44)
Symmetry-distinct sites (fractional):
Mg 0.0000 0.0000 0.0000 (multiplicity 2)  4 C 2.10-2.35
C 0.0000 0.2988 0.1811 (multiplicity 4)  1 C 1.32
C 0.0000 0.5000 0.1739 (multiplicity 2)  2 C 1.32

=====

Entry 3:
Compound: Tb5Er2Pb4
Source: Alexandria
Functional: PBE-GGA
Structure: relaxed

DFT total energy ... -4.389 eV/atom
Formation enthalpy at 0 K ... -1.16 eV per formula unit
Crystal system ... monoclinic

Lattice parameters (Å, degrees): 26.8221 3.5266 7.4520 90.00 91.91 90.00
Closest atoms and distances in Å follow each position.
Space group C2/m (No. 12)
Symmetry-distinct sites (fractional):
Tb 0.0000 0.0000 0.0000 (multiplicity 2)  4 Pb 3.19, 2 Tb 3.53
Tb 0.1416 0.5000 0.8390 (multiplicity 4)  3 Pb 3.13-3.26
Tb 0.2375 0.5000 0.2096 (multiplicity 4)  3 Pb 3.20-3.28, 2 Tb 3.53
Er 0.0880 0.5000 0.2916 (multiplicity 4)  4 Pb 3.21-3.28, 2 Er 3.53
Pb 0.0333 0.5000 0.6686 (multiplicity 4)  1 Pb 3.03, 3 Tb 3.13-3.19, 2 Er 3.21-3.28
Pb 0.1737 0.0000 0.4930 (multiplicity 4)  5 Tb 3.20-3.28, 2 Er 3.23, 2 Pb 3.53

=====

Entry 4:
Compound: TlTe3Au
Source: Alexandria
Functional: PBE-GGA
Structure: relaxed

DFT total energy ... -2.993 eV/atom
Energy relative to the elements, uncorrected ... 20 meV per atom
Energy above the lowest structure with this stoichiometry ... 66 meV per atom
Crystal system ... trigonal

Lattice parameters (Å, degrees): 8.5768 8.5768 14.2586 90.00 90.00 120.00
Closest atoms and distances in Å follow each position.
Space group R-3c (No. 167, hexagonal axes)
Symmetry-distinct sites (fractional):
Tl 0.0000 0.0000 0.2500 (multiplicity 6)  9 Te 3.46-3.53, 2 Au 3.56
Te 0.0000 0.4034 0.2500 (multiplicity 18)  2 Au 2.87
Au 0.0000 0.0000 0.0000 (multiplicity 6)  6 Te 2.87

=====

Entry 5:
Compound: Li3ReH
Source: Alexandria
Functional: PBE-GGA
Structure: relaxed

DFT total energy ... -2.688 eV/atom
Energy above the lowest structure with this stoichiometry ... 907 meV per atom
Crystal system ... cubic

Lattice parameters (Å, degrees): 5.1575 5.1575 5.1575 90.00 90.00 90.00
Closest atoms and distances in Å follow each position.
Space group Pm-3m (No. 221)
Symmetry-distinct sites (fractional):
Li 0.0000 0.0000 0.5000 (multiplicity 3)  2 Re 2.58
Re 0.0000 0.0000 0.0000 (multiplicity 1)  6 Li 2.58
H 0.5000 0.5000 0.5000 (multiplicity 1)  12 Li 3.65

=====

Entry 6:
Compound: La2ErThSe4
Source: Alexandria
Functional: PBE-GGA
Structure: relaxed

DFT total energy ... -6.275 eV/atom
Energy relative to the elements, uncorrected ... -1803 meV per atom
Crystal system ... monoclinic

Lattice parameters (Å, degrees): 7.2980 4.1801 7.3635 90.00 109.03 90.00
Closest atoms and distances in Å follow each position.
Space group P2/m (No. 10)
Symmetry-distinct sites (fractional):
La 0.0000 0.0000 0.0000 (multiplicity 1)  6 Se 3.08
La 0.0000 0.5000 0.5000 (multiplicity 1)  6 Se 3.00-3.01
Er 0.5000 0.0000 0.5000 (multiplicity 1)  6 Se 2.89
Th 0.5000 0.5000 0.0000 (multiplicity 1)  6 Se 2.97
Se 0.2614 0.0000 0.7447 (multiplicity 2)  1 Er 2.89, 2 Th 2.97, 3 La 3.00-3.08
Se 0.2677 0.5000 0.2641 (multiplicity 2)  2 Er 2.89, 1 Th 2.97, 3 La 3.01-3.08

=====

Entry 7:
Compound: Cl
Source: Alexandria
Functional: PBE-GGA
Structure: relaxed

DFT total energy ... -1.705 eV/atom
Energy relative to the elements, uncorrected ... 142 meV per atom
Energy above the lowest structure with this stoichiometry ... 142 meV per atom
Crystal system ... orthorhombic

Lattice parameters (Å, degrees): 3.4568 8.2701 4.5437 90.00 90.00 90.00
Closest atoms and distances in Å follow each position.
Space group Cmcm (No. 63)
Symmetry-distinct sites (fractional):
Cl 0.0000 0.0229 0.2500 (multiplicity 4)  2 Cl 2.30

=====

Entry 8:
Compound: Tb2CeErSe5
Source: Alexandria
Functional: PBE-GGA
Structure: relaxed

DFT total energy ... -5.304 eV/atom
Energy relative to the elements, uncorrected ... -1173 meV per atom
Crystal system ... tetragonal

Lattice parameters (Å, degrees): 5.1140 5.1140 11.0168 90.00 90.00 90.00
Closest atoms and distances in Å follow each position.
Space group P4/mmm (No. 123)
Symmetry-distinct sites (fractional):
Tb 0.0000 0.0000 0.1554 (multiplicity 2)  4 Se 3.08, 1 Tb 3.42
Ce 0.5000 0.5000 0.5000 (multiplicity 1)  2 Se 2.79
Er 0.5000 0.5000 0.0000 (multiplicity 1)  6 Se 2.56-2.72
Se 0.0000 0.0000 0.5000 (multiplicity 1)  4 Ce 3.62, 2 Tb 3.80
Se 0.0000 0.5000 0.0000 (multiplicity 2)  2 Er 2.56
Se 0.5000 0.5000 0.2467 (multiplicity 2)  1 Er 2.72, 1 Ce 2.79

=====

Entry 9:
Compound: KOs2RuF
Source: Alexandria
Functional: PBE-GGA
Structure: relaxed

DFT total energy ... -5.699 eV/atom
Energy relative to the elements, uncorrected ... 1241 meV per atom
Crystal system ... tetragonal

Lattice parameters (Å, degrees): 4.6874 4.6874 5.0244 90.00 90.00 90.00
Closest atoms and distances in Å follow each position.
Space group P4/mmm (No. 123)
Symmetry-distinct sites (fractional):
K 0.0000 0.0000 0.0000 (multiplicity 1)  4 F 3.31, 8 Os 3.44
Os 0.0000 0.5000 0.5000 (multiplicity 2)  2 Ru 2.34
Ru 0.5000 0.5000 0.5000 (multiplicity 1)  4 Os 2.34, 2 F 2.51
F 0.5000 0.5000 0.0000 (multiplicity 1)  2 Ru 2.51

=====

Entry 10:
Compound: Li2Co5SiB2
Source: Alexandria
Functional: PBE-GGA
Structure: relaxed

DFT total energy ... -6.106 eV/atom
Energy relative to the elements, uncorrected ... -293 meV per atom
Crystal system ... tetragonal

Lattice parameters (Å, degrees): 8.6463 8.6463 2.6486 90.00 90.00 90.00
Closest atoms and distances in Å follow each position.
Space group P4/mbm (No. 127)
Symmetry-distinct sites (fractional):
Li 0.1755 0.3245 0.0000 (multiplicity 4)  3 B 2.44-2.63, 10 Co 2.52-2.67, 2 Li 2.65
Co 0.0000 0.5000 0.5000 (multiplicity 2)  4 B 2.02
Co 0.0680 0.7878 0.5000 (multiplicity 8)  2 B 1.99
Si 0.0000 0.0000 0.0000 (multiplicity 2)  8 Co 2.34
B 0.1250 0.6250 0.0000 (multiplicity 4)  6 Co 1.99-2.02

=====

Entry 11:
Compound: Li2CaMgPd
Source: Alexandria
Functional: PBE-GGA
Structure: relaxed

DFT total energy ... -2.693 eV/atom
Formation enthalpy at 0 K ... -0.85 eV per formula unit
Crystal system ... tetragonal

Lattice parameters (Å, degrees): 4.8767 4.8767 5.0340 90.00 90.00 90.00
Closest atoms and distances in Å follow each position.
Space group P4/mmm (No. 123)
Symmetry-distinct sites (fractional):
Li 0.0000 0.5000 0.0000 (multiplicity 2)  2 Pd 2.44
Ca 0.0000 0.0000 0.5000 (multiplicity 1)  4 Mg 3.45, 8 Li 3.50
Mg 0.5000 0.5000 0.5000 (multiplicity 1)  2 Pd 2.52
Pd 0.5000 0.5000 0.0000 (multiplicity 1)  4 Li 2.44, 2 Mg 2.52

=====

- Number 1 is which compound?
  V2CoS4

=====

What did the seventh record say?
Compound: Cl
Source: Alexandria
Functional: PBE-GGA
Structure: relaxed

DFT total energy ... -1.705 eV/atom
Energy relative to the elements, uncorrected ... 142 meV per atom
Energy above the lowest structure with this stoichiometry ... 142 meV per atom
Crystal system ... orthorhombic

Lattice parameters (Å, degrees): 3.4568 8.2701 4.5437 90.00 90.00 90.00
Closest atoms and distances in Å follow each position.
Space group Cmcm (No. 63)
Symmetry-distinct sites (fractional):
Cl 0.0000 0.0229 0.2500 (multiplicity 4)  2 Cl 2.30